1.
Tb4Sm10Ho | PBE-GGA | relaxed

Values from the calculation:
E_form ... 712 meV/atom
M_tot ... 0.000 μB/atom
Density of states at the Fermi level ... 19.12 states/eV per cell

a = 9.513 Å, b = 9.513 Å, c = 9.513 Å
α = 99.57°, β = 99.57°, γ = 131.88°
Positions (direct):
Tb  0.100  0.299  0.400
Tb  0.299  0.900  0.199
Tb  0.701  0.100  0.801
Tb  0.900  0.701  0.600
Sm  0.050  0.151  0.701
Sm  0.151  0.451  0.101
Sm  0.250  0.750  0.500
Sm  0.350  0.050  0.899
Sm  0.451  0.350  0.299
Sm  0.549  0.650  0.701
Sm  0.650  0.950  0.101
Sm  0.750  0.250  0.500
Sm  0.849  0.549  0.899
Sm  0.950  0.849  0.299
Ho  0.500  0.500  0.000

2.
Tb3HoTm3 | PBE-GGA | relaxed

Values from the calculation:
E_form ... 7 meV/atom
M_tot ... 0.002 μB/atom
Energy relative to the lowest polymorph listed for this composition ... 0.0 meV/atom
Density of states at the Fermi level ... 28.27 states/eV per cell

a = 9.487 Å, b = 9.487 Å, c = 5.601 Å
α = 90.00°, β = 90.00°, γ = 120.00°
Positions (direct):
Tb  0.048  0.240  0.250
Tb  0.192  0.952  0.250
Tb  0.240  0.192  0.750
Tb  0.760  0.808  0.250
Tb  0.808  0.048  0.750
Tb  0.952  0.760  0.750
Ho  0.333  0.667  0.250
Ho  0.667  0.333  0.750
Tm  0.095  0.477  0.750
Tm  0.382  0.905  0.750
Tm  0.477  0.382  0.250
Tm  0.523  0.618  0.750
Tm  0.618  0.095  0.250
Tm  0.905  0.523  0.250